A relaxed structure of Ba3TiFe2O8, computed with PBE with a Hubbard U.

Computed properties:
SG	Ama2 (40)
energy above the most stable polymorph in this dataset	87	meV/atom
crystal system	orthorhombic
volume	409.3	Å³ per cell
total moment	0.430	μB per atom

Cell: 5.769 5.769 14.151 Å, 90.00 90.00 119.67°
Atoms (fractional coordinates):
1 Ba 0.325 0.653 0.081
2 Ba 0.653 0.325 0.581
3 Ba 0.325 0.653 0.419
4 Ba 0.007 0.007 0.750
5 Ba 0.653 0.325 0.919
6 Ba 0.007 0.007 0.250
7 O 0.828 0.154 0.086
8 O 0.154 0.828 0.914
9 O 0.154 0.828 0.586
10 O 0.949 0.453 0.250
11 O 0.828 0.154 0.414
12 O 0.691 0.850 0.580
13 O 0.162 0.344 0.580
14 O 0.439 0.502 0.750
15 O 0.850 0.691 0.420
16 O 0.162 0.344 0.920
17 O 0.344 0.162 0.420
18 O 0.691 0.850 0.920
19 O 0.453 0.949 0.750
20 O 0.502 0.439 0.250
21 O 0.850 0.691 0.080
22 O 0.344 0.162 0.080
23 Fe 0.352 0.680 0.848
24 Fe 0.680 0.352 0.152
25 Fe 0.352 0.680 0.652
26 Fe 0.680 0.352 0.348
27 Ti 0.997 0.997 0.000
28 Ti 0.997 0.997 0.500